No. 1
This record from Alexandria describes an optimized crystal structure of Cs3Np2CdO9. The functional is PBE.

abc: 6.2479 6.2479 7.6793
angles: 90.00 90.00 120.00
Last column: nearest neighbours and their distance in Å.
Atoms (fractional coordinates):
Cs  0.0000  0.0000  0.0000  12 O 3.09-3.12
Cs  0.3333  0.6667  0.6554  12 O 3.12-3.20
Cs  0.6667  0.3333  0.3446  12 O 3.12-3.20
Np  0.3333  0.6667  0.1606  6 O 1.99-2.18
Np  0.6667  0.3333  0.8394  6 O 1.99-2.18
Cd  0.0000  0.0000  0.5000  6 O 2.46
O  0.0000  0.5000  0.0000  2 Np 2.18
O  0.1826  0.3652  0.3095  1 Np 1.99
O  0.1826  0.8174  0.3095  1 Np 1.99
O  0.3652  0.1826  0.6905  1 Np 1.99
O  0.5000  0.0000  0.0000  2 Np 2.18
O  0.5000  0.5000  0.0000  2 Np 2.18
O  0.6348  0.8174  0.3095  1 Np 1.99
O  0.8174  0.1826  0.6905  1 Np 1.99
O  0.8174  0.6348  0.6905  1 Np 1.99

Calculated values
Crystal system ... trigonal
Formation energy from raw total energies ... -2191 meV/atom
Total energy ... -106.85 eV per formula unit

***

No. 2
This record from Alexandria describes an optimized crystal structure of Cs2NpCdS4. The functional is PBE.

abc: 14.7547 13.1211 8.1732
angles: 84.31 62.24 33.45
Last column: nearest neighbours and their distance in Å.
Atoms (fractional coordinates):
Cs  0.0548  0.0548  0.6952  8 S 3.79-4.01
Cs  0.3048  0.3048  0.9452  8 S 3.79-4.01
Cs  0.6952  0.6952  0.0548  8 S 3.79-4.01
Cs  0.9452  0.9452  0.3048  8 S 3.79-4.01
Np  0.1250  0.1250  0.1250  4 S 2.54
Np  0.8750  0.8750  0.8750  4 S 2.54
Cd  0.3750  0.3750  0.3750  4 S 2.59
Cd  0.6250  0.6250  0.6250  4 S 2.59
S  0.0312  0.3194  0.4205  1 Np 2.54, 1 Cd 2.59
S  0.2711  0.5795  0.6806  1 Np 2.54, 1 Cd 2.59
S  0.3194  0.0312  0.7289  1 Np 2.54, 1 Cd 2.59
S  0.4205  0.7289  0.0312  1 Np 2.54, 1 Cd 2.59
S  0.5795  0.2711  0.9688  1 Np 2.54, 1 Cd 2.59
S  0.6806  0.9688  0.2711  1 Np 2.54, 1 Cd 2.59
S  0.7289  0.4205  0.3194  1 Np 2.54, 1 Cd 2.59
S  0.9688  0.6806  0.5795  1 Np 2.54, 1 Cd 2.59

Calculated values
Crystal system ... orthorhombic
Formation energy from raw total energies ... -997 meV/atom
Total energy ... -40.05 eV per formula unit

***

- Which value of formation energy from raw total energies does entry 1 give?
  -2191 meV/atom

***

- What is the formula in the second record?
  Cs2NpCdS4

***

- What is the total energy in the second record?
  -40.05 eV per formula unit